This record from Alexandria describes crystalline BaBe2Tl at its relaxed geometry. The functional is PBE.

Output
Energy relative to the elements, eV per formula unit: 1.3

a b c (Å): 4.398 4.419 5.501
angles (deg): 90.00 90.00 90.00
Space group Pmmm (No. 47)
Asymmetric unit:
Ba 0.000 0.000 0.000
Be 0.500 0.246 0.500
Tl 0.000 0.500 0.500

***

This record from Alexandria describes crystalline Pr3B4Os2 at its relaxed geometry. The functional is PBE.

Output
Energy relative to the elements, eV per formula unit: -2.0

a b c (Å): 11.865 3.972 7.961
angles (deg): 90.00 117.83 90.00
Space group C2/m (No. 12)
Asymmetric unit:
Pr 0.000 0.000 0.000
Pr 0.138 0.500 0.744
B 0.131 0.000 0.403
B 0.182 0.500 0.119
Os 0.179 0.500 0.363

***

This record from Alexandria describes crystalline Np3Tl5I12 at its relaxed geometry. The functional is PBE.

a b c (Å): 19.662 19.662 19.662
angles (deg): 90.00 90.00 90.00
Space group Ia-3d (No. 230)
Asymmetric unit:
Np 0.000 0.250 0.125
Tl 0.000 0.000 0.000
Tl 0.000 0.250 0.375
I 0.020 0.085 0.650

***

This record from Alexandria describes crystalline CuIrRu2 at its relaxed geometry. The functional is PBE.

Output
Energy relative to the elements, eV per formula unit: 1.5

a b c (Å): 2.729 4.584 9.069
angles (deg): 90.00 90.00 90.00
Space group Cmm2 (No. 35)
Asymmetric unit:
Cu 0.000 0.000 0.000
Ir 0.000 0.500 0.753
Ru 0.000 0.000 0.496
Ru 0.000 0.500 0.248

***

This record from Alexandria describes crystalline Al2RhBr at its relaxed geometry. The functional is PBE.

a b c (Å): 3.2406 3.2406 24.2499
angles (deg): 90.00 90.00 120.00
Space group R3m (No. 160, hexagonal axes)
Asymmetric unit:
Al 0.0000 0.0000 0.0000
Al 0.0000 0.0000 0.2466
Rh 0.0000 0.0000 0.5149
Br 0.0000 0.0000 0.7442

***

This record from Alexandria describes crystalline Zr3Sc2Al2 at its relaxed geometry. The functional is PBE.

Output
Energy relative to the elements, eV per formula unit: -0.1

a b c (Å): 4.991 2.964 10.205
angles (deg): 90.00 104.04 90.00
Space group P2/m (No. 10)
Asymmetric unit:
Zr 0.000 0.000 0.000
Zr 0.280 0.000 0.561
Sc 0.426 0.000 0.850
Al 0.144 0.500 0.289

***

This record from Alexandria describes crystalline Sm2LuHg at its relaxed geometry. The functional is PBE.

Output
Energy relative to the elements, eV per formula unit: -0.8

a b c (Å): 3.658 3.658 8.850
angles (deg): 90.00 90.00 90.00
Space group P4/mmm (No. 123)
Asymmetric unit:
Sm 0.000 0.000 0.228
Lu 0.500 0.500 0.500
Hg 0.500 0.500 0.000

***

This record from Alexandria describes crystalline Nb3As2 at its relaxed geometry. The functional is PBE.

Output
Energy relative to the elements, eV per formula unit: -2.8

a b c (Å): 10.166 3.526 9.794
angles (deg): 90.00 90.00 90.00
Space group Pnma (No. 62)
Asymmetric unit:
Nb 0.052 0.250 0.120
Nb 0.120 0.750 0.576
Nb 0.205 0.250 0.787
As 0.044 0.750 0.322
As 0.201 0.750 0.992

***

This record from Alexandria describes crystalline PrIn3Rh2 at its relaxed geometry. The functional is PBE.

Output
Energy relative to the elements, eV per formula unit: -2.7

a b c (Å): 18.579 4.544 10.220
angles (deg): 90.00 114.92 90.00
Space group C2/m (No. 12)
Asymmetric unit:
Pr 0.000 0.000 0.000
Pr 0.168 0.000 0.685
In 0.000 0.500 0.500
In 0.032 0.000 0.339
In 0.123 0.500 0.172
In 0.185 0.500 0.938
In 0.212 0.000 0.379
Rh 0.028 0.500 0.819
Rh 0.131 0.500 0.444
Rh 0.173 0.000 0.078

***

This record from Alexandria describes crystalline Cd3CBr at its relaxed geometry. The functional is PBE.

a b c (Å): 5.945 5.945 5.945
angles (deg): 90.00 90.00 90.00
Space group Pm-3m (No. 221)
Asymmetric unit:
Cd 0.000 0.000 0.500
C 0.500 0.500 0.500
Br 0.000 0.000 0.000

***

This record from Alexandria describes crystalline Na2DyScS4 at its relaxed geometry. The functional is PBE.

a b c (Å): 6.720 3.883 7.023
angles (deg): 90.00 108.60 90.00
Space group P2/m (No. 10)
Asymmetric unit:
Na 0.000 0.000 0.000
Na 0.500 0.500 0.000
Dy 0.000 0.500 0.500
Sc 0.500 0.000 0.500
S 0.253 0.000 0.724
S 0.271 0.500 0.282

***

no.,DOS at the Fermi energy (states/eV per cell),electronic total energy (eV per atom)
1,2.0,-2.61
2,12.8,-7.28
3,167.7,-3.96
4,10.9,-7.50
5,4.1,-4.25
6,8.3,-6.55
7,5.3,-3.77
8,12.0,-8.47
9,17.0,-5.07
10,4.9,-1.00
11,0.0,-5.55